Entry 1:
Entry from the Alexandria database: crystalline LiCaS2O8 at its relaxed geometry (GGA-PBE).

extended XYZ file:
```
12
Lattice="5.1707 0.0000 0.0000 -2.5854 4.4780 0.0000 0.0000 0.0000 6.7268" Properties=species:S:1:pos:R:3 pbc="T T T"
O 0.0000 2.9853 0.0141
O -1.2160 3.6889 4.7697
O 2.5866 2.8975 1.9571
O 1.2173 3.6867 4.7697
O -0.0013 1.5805 4.7697
O 2.5854 1.4927 6.7127
O 3.8014 0.7891 1.9571
O 1.3681 0.7913 1.9571
S 0.0000 2.9853 5.2542
S 2.5854 1.4927 1.4727
Li 0.0000 0.0000 3.3634
Ca 0.0000 0.0000 0.0000
```

Raw total energy = -6.07 eV per atom
Formation energy (no corrections) = -21.016 eV per formula unit
DOS(E_F) = 0.688 states/eV/atom
Symmetry = No. 164

=====

Entry 2:
Entry from the Alexandria database: crystalline Tb7Y2Th at its relaxed geometry (GGA-PBE).

extended XYZ file:
```
10
Lattice="3.4759 -0.4922 -0.4272 -0.4794 11.6438 -2.6922 -0.9323 -1.2173 8.4415" Properties=species:S:1:pos:R:3 pbc="T T T"
Y 1.3545 9.6666 -0.1353
Y 0.7097 0.2676 5.4574
Tb 2.6289 6.0870 -0.2601
Tb 1.6178 6.6524 5.4695
Tb 2.2938 1.5322 2.2637
Tb 1.0321 4.9671 2.6610
Tb -0.2296 8.4021 3.0584
Tb -0.5647 3.8472 5.5822
Tb 0.4464 3.2818 -0.1474
Th 0.0000 0.0000 0.0000
```

E_form = 0.0341 eV/atom
Raw total energy = -5.24 eV per atom
DOS(E_F) = 1.471 states/eV/atom
Symmetry = No. 12